No. 1
Dy2Y3Ho3 | PBE | optimized geometry

Cell lengths 5.617, 7.234, 12.539 Å; angles 90.00, 90.00, 90.00 degrees
Space group Amm2 (No. 38)
Asymmetric unit:
Dy (0.000, 0.000, 0.000) [2 per cell]
Dy (0.500, 0.000, 0.333) [2 per cell]
Y (0.000, 0.000, 0.500) [2 per cell]
Y (0.500, 0.250, 0.084) [4 per cell]
Ho (0.000, 0.250, 0.250) [4 per cell]
Ho (0.500, 0.000, 0.833) [2 per cell]

Output
ΔE_f ... 0.0046 eV per atom
Size of the total moment ... 0.1 μB/f.u.

=====

No. 2
GdYCu | PBE | optimized geometry

Cell lengths 6.771, 6.771, 6.771 Å; angles 90.00, 90.00, 90.00 degrees
Space group F-43m (No. 216)
Asymmetric unit:
Gd (0.000, 0.000, 0.000) [4 per cell]
Y (0.250, 0.250, 0.250) [4 per cell]
Cu (0.250, 0.250, 0.750) [4 per cell]

Output
ΔE_f ... 0.6972 eV per atom
Size of the total moment ... 0.0 μB/f.u.

=====

No. 3
Cu2SiGeP4 | PBE | optimized geometry

Cell lengths 5.335, 5.335, 10.423 Å; angles 90.00, 90.00, 90.00 degrees
Space group I-4 (No. 82)
Asymmetric unit:
Cu (0.000, 0.000, 0.000) [2 per cell]
Cu (0.000, 0.500, 0.250) [2 per cell]
Si (0.000, 0.000, 0.500) [2 per cell]
Ge (0.000, 0.500, 0.750) [2 per cell]
P (0.242, 0.743, 0.379) [8 per cell]

=====

No. 4
TbGd2Cd | PBE | optimized geometry

Cell lengths 5.488, 6.955, 12.045 Å; angles 90.00, 90.00, 90.00 degrees
Space group Amm2 (No. 38)
Asymmetric unit:
Tb (0.000, 0.242, 0.000) [4 per cell]
Gd (0.000, 0.000, 0.758) [2 per cell]
Gd (0.500, 0.000, 0.414) [2 per cell]
Gd (0.500, 0.241, 0.172) [4 per cell]
Cd (0.000, 0.000, 0.253) [2 per cell]
Cd (0.500, 0.000, 0.920) [2 per cell]

Output
ΔE_f ... -0.1051 eV per atom
Size of the total moment ... 0.2 μB/f.u.

=====

No. 5
SrTmAgS3 | PBE | optimized geometry

Cell lengths 10.291, 4.013, 13.296 Å; angles 90.00, 90.00, 90.00 degrees
Space group Pnma (No. 62)
Asymmetric unit:
Sr (0.230, 0.250, 0.002) [4 per cell]
Tm (0.017, 0.750, 0.745) [4 per cell]
Ag (0.235, 0.750, 0.223) [4 per cell]
S (0.036, 0.750, 0.116) [4 per cell]
S (0.072, 0.250, 0.611) [4 per cell]
S (0.235, 0.250, 0.339) [4 per cell]

Output
Size of the total moment ... 0.0 μB/f.u.

=====

No. 6
LaPm2NO2 | PBE | optimized geometry

Cell lengths 3.5630, 3.5630, 8.7694 Å; angles 90.00, 90.00, 120.00 degrees
Space group P-3m1 (No. 164)
Asymmetric unit:
La (0.0000, 0.0000, 0.0000) [1 per cell]
Pm (0.3333, 0.6667, 0.6611) [2 per cell]
N (0.0000, 0.0000, 0.5000) [1 per cell]
O (0.3333, 0.6667, 0.1747) [2 per cell]

Output
Size of the total moment ... 0.0 μB/f.u.

=====

Computed uncorrected energy (eV/atom) in order:
-5.29 -4.25 -4.97 -3.81 -5.15 -7.86